(1)
The following is a DFT calculation (PBE-GGA) of a relaxed structure of Ac2Ag2IrO6.

Geometry as CIF:
```
data_Ac2Ag2IrO6
_chemical_formula_sum 'Ac4 Ag4 Ir2 O12'
_space_group_name_H-M_alt 'C 1 2/m 1'
_space_group_IT_number 12
_cell_length_a 6.2138
_cell_length_b 11.1778
_cell_length_c 6.3220
_cell_angle_alpha 90.00
_cell_angle_beta 97.58
_cell_angle_gamma 90.00
loop_
_space_group_symop_operation_xyz
'x,y,z'
'-x,-y,-z'
'-x,y,-z'
'x,-y,z'
'x+1/2,y+1/2,z'
'-x+1/2,-y+1/2,-z'
'-x+1/2,y+1/2,-z'
'x+1/2,-y+1/2,z'
loop_
_atom_site_label
_atom_site_fract_x
_atom_site_fract_y
_atom_site_fract_z
Ac1 0.0000 0.1622 0.0000
Ag1 0.0000 0.3650 0.5000
Ir1 0.0000 0.5000 0.0000
O1 0.1093 0.3586 0.8271
O2 0.1909 0.0000 0.8459
```

Values from the calculation:
DFT total energy = -140.32 eV/cell
Crystal system = monoclinic
ΔE_f (raw) = -1.60 eV/atom

(2)
The following is a DFT calculation (PBE-GGA) of a relaxed structure of AcAg2IrO6.

Geometry as CIF:
```
data_AcAg2IrO6
_chemical_formula_sum 'Ac2 Ag4 Ir2 O12'
_space_group_name_H-M_alt 'P 1 21/c 1'
_space_group_IT_number 14
_cell_length_a 5.8483
_cell_length_b 5.8285
_cell_length_c 10.1958
_cell_angle_alpha 90.00
_cell_angle_beta 124.08
_cell_angle_gamma 90.00
loop_
_space_group_symop_operation_xyz
'x,y,z'
'-x,-y,-z'
'-x,y+1/2,-z+1/2'
'x,-y+1/2,z+1/2'
loop_
_atom_site_label
_atom_site_fract_x
_atom_site_fract_y
_atom_site_fract_z
Ac1 0.0000 0.0000 0.0000
Ag1 0.2333 0.0212 0.7420
Ir1 0.5000 0.0000 0.5000
O1 0.1954 0.0808 0.2850
O2 0.2402 0.6378 0.0353
O3 0.4380 0.2116 0.0678
```

Values from the calculation:
DFT total energy = -118.53 eV/cell
Crystal system = monoclinic
ΔE_f (raw) = -1.08 eV/atom